1.
InSiGeS2 | meta-GGA SCAN | PBEsol geometry

Output
Theoretical density   4.11 g/cm³
DOS(E_F)   4.3 states/eV/cell
Formation energy without anion corrections   0.76 eV/atom

The structure in POSCAR format:
```
InSiGeS2
1.0
4.7165 0.0000 0.0000
0.0000 4.7165 0.0000
0.0000 0.0000 5.0820
In Si Ge S
1 1 1 2
Direct
0.0000 0.0000 0.0000
0.5000 0.5000 0.0000
0.0000 0.0000 0.5000
0.0000 0.5000 0.5000
0.5000 0.0000 0.5000
```



2.
CaRh2Br | meta-GGA SCAN | PBEsol geometry

Output
Theoretical density   7.68 g/cm³
Offset from the most stable computed form   0.0 meV per atom
DOS(E_F)   2.8 states/eV/cell
Formation energy without anion corrections   -0.07 eV/atom

The structure in POSCAR format:
```
CaRh2Br
1.0
3.1263 0.0000 0.0000
0.0000 4.8113 0.0000
-0.1917 0.0000 4.6853
Ca Rh Br
1 2 1
Direct
0.0000 0.0000 0.0000
0.3136 0.5000 0.7370
0.6864 0.5000 0.2630
0.5000 0.0000 0.5000
```



3.
K2OsCl | meta-GGA SCAN | PBEsol geometry

Output
Theoretical density   5.11 g/cm³
Offset from the most stable computed form   111.5 meV per atom
DOS(E_F)   1.7 states/eV/cell
Formation energy without anion corrections   0.37 eV/atom

The structure in POSCAR format:
```
K2OsCl
1.0
5.9888 0.0000 0.0000
0.0000 5.9888 0.0000
0.0000 0.0000 2.7529
K Os Cl
2 1 1
Direct
0.0000 0.5000 0.0000
0.5000 0.0000 0.0000
0.0000 0.0000 0.5000
0.5000 0.5000 0.5000
```



4.
CrSn2B | meta-GGA SCAN | PBEsol geometry

Output
Theoretical density   6.98 g/cm³
DOS(E_F)   1.7 states/eV/cell
Energy relative to the elements   1.012 eV per atom

The structure in POSCAR format:
```
CrSn2B
1.0
0.0000 3.2930 3.2930
3.2930 0.0000 3.2930
3.2930 3.2930 0.0000
Cr Sn B
1 2 1
Direct
0.0000 0.0000 0.0000
0.2500 0.2500 0.2500
0.7500 0.7500 0.7500
0.5000 0.5000 0.5000
```



5.
SrTaMo3 | meta-GGA SCAN | PBEsol geometry

Output
Theoretical density   9.49 g/cm³
DOS(E_F)   8.7 states/eV/cell
Energy relative to the elements   3.164 eV per atom

The structure in POSCAR format:
```
SrTaMo3
1.0
4.5996 0.0000 0.0000
0.0000 4.5996 0.0000
0.0000 0.0000 4.5996
Sr Ta Mo
1 1 3
Direct
0.0000 0.0000 0.0000
0.5000 0.5000 0.5000
0.0000 0.0000 0.5000
0.0000 0.5000 0.0000
0.5000 0.0000 0.0000
```



6.
K2TiSbF | meta-GGA SCAN | PBEsol geometry

Output
Theoretical density   2.18 g/cm³
DOS(E_F)   4.4 states/eV/cell
Formation energy without anion corrections   0.11 eV/atom

The structure in POSCAR format:
```
K2TiSbF
1.0
6.8419 0.0000 0.0000
0.0000 6.8419 0.0000
0.0000 0.0000 4.3385
K Ti Sb F
2 1 1 1
Direct
0.0000 0.5000 0.0000
0.5000 0.0000 0.0000
0.0000 0.0000 0.5000
0.5000 0.5000 0.0000
0.5000 0.5000 0.5000
```



7.
PtN2ClO | meta-GGA SCAN | PBEsol geometry

Output
Theoretical density   7.05 g/cm³
DOS(E_F)   2.8 states/eV/cell
Formation energy without anion corrections   2.26 eV/atom

The structure in POSCAR format:
```
PtN2ClO
1.0
3.4436 0.0000 0.0000
0.0000 3.4436 0.0000
0.0000 0.0000 5.4512
Pt N Cl O
1 2 1 1
Direct
0.0000 0.0000 0.0000
0.0000 0.5000 0.5000
0.5000 0.0000 0.5000
0.5000 0.5000 0.0000
0.5000 0.5000 0.5000
```



8.
NbSiC3 | meta-GGA SCAN | PBEsol geometry

Output
Theoretical density   5.23 g/cm³
DOS(E_F)   3.2 states/eV/cell
Formation energy without anion corrections   1.56 eV/atom

The structure in POSCAR format:
```
NbSiC3
1.0
3.6796 0.0000 0.0000
0.0000 3.6796 0.0000
0.0000 0.0000 3.6796
Nb Si C
1 1 3
Direct
0.0000 0.0000 0.0000
0.5000 0.5000 0.5000
0.0000 0.5000 0.5000
0.5000 0.0000 0.5000
0.5000 0.5000 0.0000
```



9.
SrSi2Pt | meta-GGA SCAN | PBEsol geometry

Output
Theoretical density   6.98 g/cm³
DOS(E_F)   1.1 states/eV/cell
Formation energy without anion corrections   -0.85 eV/atom

The structure in POSCAR format:
```
SrSi2Pt
1.0
2.0447 1.1805 5.5675
-2.0447 1.1805 5.5675
0.0000 -2.3610 5.5675
Sr Si Pt
1 2 1
Direct
0.0000 0.0000 0.0000
0.2103 0.2103 0.2103
0.7897 0.7897 0.7897
0.5000 0.5000 0.5000
```



10.
Tm3Pt4 | meta-GGA SCAN | PBEsol geometry

Output
Theoretical density   16.01 g/cm³
DOS(E_F)   4.3 states/eV/cell
Energy relative to the elements   -1.465 eV per atom

The structure in POSCAR format:
```
Tm3Pt4
1.0
6.4171 3.7049 1.8717
-6.4171 3.7049 1.8717
0.0000 -7.4098 1.8717
Tm Pt
6 8
Direct
0.0243 0.2780 0.4046
0.2780 0.4046 0.0243
0.4046 0.0243 0.2780
0.5954 0.9757 0.7220
0.7220 0.5954 0.9757
0.9757 0.7220 0.5954
0.0000 0.0000 0.0000
0.0631 0.5497 0.2283
0.2283 0.0631 0.5497
0.4503 0.7717 0.9369
0.5000 0.5000 0.5000
0.5497 0.2283 0.0631
0.7717 0.9369 0.4503
0.9369 0.4503 0.7717
```



11.
ThGe2 | meta-GGA SCAN | PBEsol geometry

Output
Theoretical density   9.21 g/cm³
DOS(E_F)   1.9 states/eV/cell
Energy relative to the elements   -0.638 eV per atom

The structure in POSCAR format:
```
ThGe2
1.0
2.0039 -8.2361 0.0000
2.0039 8.2361 0.0000
0.0000 0.0000 4.1219
Th Ge
2 4
Direct
0.1390 0.8610 0.0000
0.8610 0.1390 0.0000
0.0000 0.0000 0.5000
0.2987 0.7013 0.5000
0.5000 0.5000 0.0000
0.7013 0.2987 0.5000
```



12.
Ba2TlAg | meta-GGA SCAN | PBEsol geometry

Output
Theoretical density   8.12 g/cm³
Offset from the most stable computed form   135.3 meV per atom
DOS(E_F)   0.3 states/eV/cell
Energy relative to the elements   -0.274 eV per atom

The structure in POSCAR format:
```
Ba2TlAg
1.0
0.0000 3.9154 3.9154
3.9154 0.0000 3.9154
3.9154 3.9154 0.0000
Ba Tl Ag
2 1 1
Direct
0.0000 0.0000 0.0000
0.2500 0.2500 0.2500
0.5000 0.5000 0.5000
0.7500 0.7500 0.7500
```



13.
Li2MgIn | meta-GGA SCAN | PBEsol geometry

Output
Theoretical density   3.21 g/cm³
DOS(E_F)   1.3 states/eV/cell
Energy relative to the elements   -0.217 eV per atom

The structure in POSCAR format:
```
Li2MgIn
1.0
3.0069 0.0000 0.0000
0.0000 4.6197 0.0000
-1.4974 0.0000 5.6938
Li Mg In
2 1 1
Direct
0.2419 0.0000 0.2352
0.7581 0.0000 0.7648
0.0000 0.5000 0.5000
0.5000 0.5000 0.0000
```



14.
Tl2SiPb | meta-GGA SCAN | PBEsol geometry

Output
Theoretical density   10.32 g/cm³
Offset from the most stable computed form   0.0 meV per atom
DOS(E_F)   1.8 states/eV/cell
Formation energy without anion corrections   0.35 eV/atom

The structure in POSCAR format:
```
Tl2SiPb
1.0
1.7157 0.9906 10.1641
-1.7157 0.9906 10.1641
0.0000 -1.9811 10.1641
Tl Si Pb
2 1 1
Direct
0.0000 0.0000 0.0000
0.2421 0.2421 0.2421
0.5017 0.5017 0.5017
0.7621 0.7621 0.7621
```



15.
LiNi5 | meta-GGA SCAN | PBEsol geometry

Output
Theoretical density   7.99 g/cm³
Offset from the most stable computed form   0.0 meV per atom
DOS(E_F)   5.7 states/eV/cell
Energy relative to the elements   0.036 eV per atom

The structure in POSCAR format:
```
LiNi5
1.0
4.5156 -1.2114 0.0000
4.5156 1.2114 0.0000
-1.5194 0.0000 5.7072
Li Ni
1 5
Direct
0.0000 0.0000 0.0000
0.2711 0.2711 0.0472
0.3361 0.3361 0.6648
0.6138 0.6138 0.7127
0.6714 0.6714 0.3346
0.9444 0.9444 0.3836
```



16.
Hf2ZnRuCl | meta-GGA SCAN | PBEsol geometry

Output
Theoretical density   10.18 g/cm³
DOS(E_F)   4.1 states/eV/cell
Formation energy without anion corrections   0.35 eV/atom

The structure in POSCAR format:
```
Hf2ZnRuCl
1.0
4.6031 0.0000 0.0000
0.0000 4.6031 0.0000
0.0000 0.0000 4.3033
Hf Zn Ru Cl
2 1 1 1
Direct
0.0000 0.5000 0.0000
0.5000 0.0000 0.0000
0.0000 0.0000 0.5000
0.5000 0.5000 0.5000
0.5000 0.5000 0.0000
```



17.
Na2HgSb2 | meta-GGA SCAN | PBEsol geometry

Output
Theoretical density   5.73 g/cm³
DOS(E_F)   1.3 states/eV/cell
Formation energy without anion corrections   -0.31 eV/atom

The structure in POSCAR format:
```
Na2HgSb2
1.0
7.5182 0.0000 0.0000
0.0000 7.5182 0.0000
0.0000 0.0000 5.0263
Na Hg Sb
4 2 4
Direct
0.1665 0.3335 0.0000
0.3335 0.8335 0.0000
0.6665 0.1665 0.0000
0.8335 0.6665 0.0000
0.0000 0.0000 0.5000
0.5000 0.5000 0.5000
0.1388 0.6388 0.5000
0.3612 0.1388 0.5000
0.6388 0.8612 0.5000
0.8612 0.3612 0.5000
```



18.
YCd2Te2 | meta-GGA SCAN | PBEsol geometry

Output
Theoretical density   6.83 g/cm³
DOS(E_F)   2.6 states/eV/cell
Formation energy without anion corrections   -0.58 eV/atom

The structure in POSCAR format:
```
YCd2Te2
1.0
-1.9584 1.9584 9.0213
1.9584 -1.9584 9.0213
1.9584 1.9584 -9.0213
Y Cd Te
1 2 2
Direct
0.0000 0.0000 0.0000
0.2500 0.7500 0.5000
0.7500 0.2500 0.5000
0.4092 0.4092 0.0000
0.5908 0.5908 0.0000
```



19.
NaNiIO2 | meta-GGA SCAN | PBEsol geometry

Output
Theoretical density   5.01 g/cm³
DOS(E_F)   2.6 states/eV/cell
Formation energy without anion corrections   -0.44 eV/atom

The structure in POSCAR format:
```
NaNiIO2
1.0
3.8641 0.0000 0.0000
0.0000 3.8641 0.0000
0.0000 0.0000 5.3424
Na Ni I O
1 1 1 2
Direct
0.0000 0.0000 0.0000
0.5000 0.5000 0.5000
0.5000 0.5000 0.0000
0.0000 0.5000 0.5000
0.5000 0.0000 0.5000
```



20.
CuAg2SnBr | meta-GGA SCAN | PBEsol geometry

Output
Theoretical density   5.37 g/cm³
DOS(E_F)   2.3 states/eV/cell
Formation energy without anion corrections   0.80 eV/atom

The structure in POSCAR format:
```
CuAg2SnBr
1.0
5.1272 0.0000 0.0000
0.0000 5.1272 0.0000
0.0000 0.0000 5.6165
Cu Ag Sn Br
1 2 1 1
Direct
0.0000 0.0000 0.0000
0.0000 0.5000 0.5000
0.5000 0.0000 0.5000
0.5000 0.5000 0.5000
0.5000 0.5000 0.0000
```



21.
BeI2N | meta-GGA SCAN | PBEsol geometry

Output
Theoretical density   4.07 g/cm³
DOS(E_F)   0.0 states/eV/cell
Formation energy without anion corrections   0.76 eV/atom

The structure in POSCAR format:
```
BeI2N
1.0
-3.4430 3.4430 4.7658
3.4430 -3.4430 4.7658
3.4430 3.4430 -4.7658
Be I N
2 4 2
Direct
0.0000 0.0000 0.0000
0.7500 0.2500 0.5000
0.0495 0.1250 0.4245
0.3750 0.9505 0.0755
0.7005 0.6250 0.5755
0.8750 0.2995 0.9245
0.2500 0.7500 0.5000
0.5000 0.5000 0.0000
```



22.
TaSiGe | meta-GGA SCAN | PBEsol geometry

Output
Theoretical density   10.37 g/cm³
DOS(E_F)   3.7 states/eV/cell
Formation energy without anion corrections   -0.30 eV/atom

The structure in POSCAR format:
```
TaSiGe
1.0
4.8466 0.0000 0.0000
-2.4233 4.1973 0.0000
0.0000 0.0000 6.6542
Ta Si Ge
3 3 3
Direct
0.1690 0.3381 0.3333
0.1690 0.8310 0.6667
0.6619 0.8310 0.0000
0.5054 0.0107 0.3333
0.5054 0.4946 0.6667
0.9893 0.4946 0.0000
0.3417 0.1709 0.0000
0.8291 0.1709 0.6667
0.8291 0.6583 0.3333
```



23.
TlInNi2 | meta-GGA SCAN | PBEsol geometry

Output
Theoretical density   10.89 g/cm³
DOS(E_F)   3.3 states/eV/cell
Energy relative to the elements   0.270 eV per atom

The structure in POSCAR format:
```
TlInNi2
1.0
3.1116 0.0000 0.0000
0.0000 3.1116 0.0000
0.0000 0.0000 6.8741
Tl In Ni
1 1 2
Direct
0.0000 0.0000 0.0000
0.5000 0.5000 0.3781
0.0000 0.0000 0.5892
0.5000 0.5000 0.7660
```



24.
Ta5Pt3 | meta-GGA SCAN | PBEsol geometry

Output
Theoretical density   18.35 g/cm³
Offset from the most stable computed form   0.0 meV per atom
DOS(E_F)   15.3 states/eV/cell
Energy relative to the elements   -0.620 eV per atom

The structure in POSCAR format:
```
Ta5Pt3
1.0
-5.1437 5.1437 2.5485
5.1437 -5.1437 2.5485
5.1437 5.1437 -2.5485
Ta Pt
10 6
Direct
0.0788 0.7798 0.8586
0.2202 0.0788 0.2990
0.2500 0.7500 0.5000
0.2798 0.5788 0.8586
0.4212 0.2798 0.7010
0.5788 0.7202 0.2990
0.7202 0.4212 0.1414
0.7500 0.2500 0.5000
0.7798 0.9212 0.7010
0.9212 0.2202 0.1414
0.1652 0.3348 0.5000
0.2500 0.2500 0.0000
0.3348 0.8348 0.1697
0.6652 0.1652 0.8303
0.7500 0.7500 0.0000
0.8348 0.6652 0.5000
```



25.
Tc2CO | meta-GGA SCAN | PBEsol geometry

Output
Theoretical density   7.85 g/cm³
DOS(E_F)   6.9 states/eV/cell
Formation energy without anion corrections   0.04 eV/atom

The structure in POSCAR format:
```
Tc2CO
1.0
-2.3619 2.3619 4.2483
2.3619 -2.3619 4.2483
2.3619 2.3619 -4.2483
Tc C O
4 2 2
Direct
0.1202 0.1250 0.4952
0.3750 0.8798 0.0048
0.6298 0.6250 0.5048
0.8750 0.3702 0.9952
0.0000 0.0000 0.0000
0.7500 0.2500 0.5000
0.2500 0.7500 0.5000
0.5000 0.5000 0.0000
```



26.
PrRh2 | meta-GGA SCAN | PBEsol geometry

Output
Theoretical density   10.65 g/cm³
DOS(E_F)   2.3 states/eV/cell
Energy relative to the elements   -0.720 eV per atom

The structure in POSCAR format:
```
PrRh2
1.0
0.0000 3.7811 3.7811
3.7811 0.0000 3.7811
3.7811 3.7811 0.0000
Pr Rh
2 4
Direct
0.1250 0.1250 0.1250
0.8750 0.8750 0.8750
0.0000 0.5000 0.5000
0.5000 0.0000 0.5000
0.5000 0.5000 0.0000
0.5000 0.5000 0.5000
```



27.
MgIn2 | meta-GGA SCAN | PBEsol geometry

Output
Theoretical density   5.75 g/cm³
DOS(E_F)   1.3 states/eV/cell
Energy relative to the elements   -0.052 eV per atom

The structure in POSCAR format:
```
MgIn2
1.0
-1.6501 2.7607 4.0216
1.6501 -2.7607 4.0216
1.6501 2.7607 -4.0216
Mg In
1 2
Direct
0.0000 0.0000 0.0000
0.3139 0.8139 0.5000
0.6861 0.1861 0.5000
```